Compound: ZrAgGe
Source: the Alexandria database
Functional: PBE-GGA
Structure: relaxed

Cell lengths 5.2357, 5.2357, 5.6089 Å; angles 90.00, 90.00, 132.98 degrees
With the nearest neighbours (Å) after each atom.
Positions (direct):
Zr (0.1949, 0.8051, 0.7500)  4 Ge 2.72-2.89
Zr (0.8051, 0.1949, 0.2500)  4 Ge 2.72-2.89
Ag (0.5000, 0.5000, 0.0000)  4 Ge 2.78, 2 Ag 2.80
Ag (0.5000, 0.5000, 0.5000)  4 Ge 2.78, 2 Ag 2.80
Ge (0.1235, 0.8765, 0.2500)  4 Zr 2.72-2.89, 4 Ag 2.78
Ge (0.8765, 0.1235, 0.7500)  4 Zr 2.72-2.89, 4 Ag 2.78

Output
Size of the total moment ... 0.0 μB per cell
VASP energy ... -5.684 eV/atom
Theoretical density ... 8.02 g/cm³
DFT formation energy ... -345 meV per atom
DOS at the Fermi energy ... 4.23 states/eV/cell